A geometry-optimized Cd2PbO structure. Source: Alexandria, functional PBE.

Computed properties:
- symmetry = Fm-3m
- magnetic moment (Bohr magnetons per cell) = 0.000
- relative energy among the computed polymorphs (meV per atom) = 678.8
- raw total energy (eV/atom) = -2.3412
- N(E_F) (states/eV/f.u.) = 2.333

Cell and atoms, written as extended XYZ:
```
4
Lattice="0.000 3.501 3.501 3.501 0.000 3.501 3.501 3.501 0.000" Properties=species:S:1:pos:R:3 pbc="T T T"
Cd 1.751 1.751 1.751
Cd 5.252 5.252 5.252
Pb 0.000 0.000 0.000
O 3.501 3.501 3.501
```

***

A geometry-optimized Cd2PbO structure. Source: Alexandria, functional PBE.

Computed properties:
- symmetry = I-42d
- magnetic moment (Bohr magnetons per cell) = 0.000
- relative energy among the computed polymorphs (meV per atom) = 70.1
- raw total energy (eV/atom) = -2.9500
- N(E_F) (states/eV/f.u.) = 1.036

Cell and atoms, written as extended XYZ:
```
8
Lattice="-3.322 3.322 4.430 3.322 -3.322 4.430 3.322 3.322 -4.430" Properties=species:S:1:pos:R:3 pbc="T T T"
Cd 4.983 0.995 -1.107
Cd 0.995 1.661 1.107
Cd -1.661 2.327 3.322
Cd 2.327 1.661 5.537
Pb 3.322 0.000 2.215
Pb 0.000 0.000 4.430
O 0.000 0.000 0.000
O 0.000 3.322 2.215
```

***

A geometry-optimized CdPbO2 structure. Source: Alexandria, functional PBE.

Computed properties:
- symmetry = Pc
- magnetic moment (Bohr magnetons per cell) = 0.000
- relative energy among the computed polymorphs (meV per atom) = 0.0
- raw total energy (eV/atom) = -4.6070

Cell and atoms, written as extended XYZ:
```
8
Lattice="3.818 0.000 0.000 0.000 7.353 0.000 -3.808 0.000 5.428" Properties=species:S:1:pos:R:3 pbc="T T T"
Cd 0.000 0.893 0.000
Cd -1.904 6.460 2.714
Pb -1.898 2.525 2.920
Pb 0.006 4.828 0.206
O 1.909 0.733 1.145
O 0.005 6.620 3.859
O 0.014 2.935 4.365
O 1.918 4.418 1.651
```

***

A geometry-optimized CdPb2O3 structure. Source: Alexandria, functional PBE.

Computed properties:
- symmetry = C2/c
- magnetic moment (Bohr magnetons per cell) = 0.000
- relative energy among the computed polymorphs (meV per atom) = 0.0
- raw total energy (eV/atom) = -4.8547

Cell and atoms, written as extended XYZ:
```
12
Lattice="5.586 -2.909 0.000 5.586 2.909 0.000 -2.153 0.000 6.684" Properties=species:S:1:pos:R:3 pbc="T T T"
Cd 3.971 2.703 5.013
Cd 5.048 -2.703 1.671
Pb 1.732 0.090 6.304
Pb 2.809 -0.090 2.962
Pb 6.210 0.090 3.722
Pb 7.286 -0.090 0.380
O 1.463 0.595 0.207
O 0.387 -0.595 3.549
O 3.971 0.359 5.013
O 5.048 -0.359 1.671
O 8.632 0.595 3.135
O 7.555 -0.595 6.477
```

***

A geometry-optimized CdPb2O3 structure. Source: Alexandria, functional PBE.

Computed properties:
- symmetry = Cmc2_1
- magnetic moment (Bohr magnetons per cell) = 0.000
- relative energy among the computed polymorphs (meV per atom) = 133.4
- raw total energy (eV/atom) = -4.7212

Cell and atoms, written as extended XYZ:
```
12
Lattice="7.944 -3.046 0.000 7.944 3.046 0.000 0.000 0.000 6.098" Properties=species:S:1:pos:R:3 pbc="T T T"
Cd 7.944 3.010 3.049
Cd 7.944 -3.010 0.000
Pb 5.188 1.151 5.084
Pb 10.699 1.151 5.084
Pb 5.188 -1.151 2.034
Pb 10.699 -1.151 2.034
O 4.262 0.586 3.080
O 7.944 1.718 1.499
O 4.262 -0.586 0.030
O 11.626 0.586 3.080
O 7.944 -1.718 4.548
O 11.626 -0.586 0.030
```

***

A geometry-optimized CdPbO3 structure. Source: Alexandria, functional PBE.

Computed properties:
- symmetry = P2_1/c
- magnetic moment (Bohr magnetons per cell) = 0.000
- raw total energy (eV/atom) = -4.8196
- N(E_F) (states/eV/f.u.) = 2.584

Cell and atoms, written as extended XYZ:
```
20
Lattice="7.349 0.000 0.000 0.000 5.886 0.000 -3.678 0.000 7.056" Properties=species:S:1:pos:R:3 pbc="T T T"
Cd -1.059 1.165 2.557
Cd -2.898 1.777 6.085
Cd 6.569 4.108 0.971
Cd 4.730 4.720 4.499
Pb 1.054 4.353 4.001
Pb 2.893 4.476 0.473
Pb 0.778 1.410 6.582
Pb 2.617 1.533 3.055
O -2.691 3.952 6.655
O -0.852 4.877 3.127
O -1.121 0.429 6.242
O 0.718 2.514 2.714
O 0.105 3.363 5.727
O 1.944 5.466 2.199
O 1.728 0.420 4.856
O 3.567 2.523 1.328
O 2.953 3.372 4.341
O 4.792 5.457 0.814
O 4.523 1.009 3.928
O 6.362 1.934 0.400
```

***

A geometry-optimized CdPbO3 structure. Source: Alexandria, functional PBE.

Computed properties:
- symmetry = P1
- magnetic moment (Bohr magnetons per cell) = 0.000
- raw total energy (eV/atom) = -4.6286
- N(E_F) (states/eV/f.u.) = 3.204

Cell and atoms, written as extended XYZ:
```
5
Lattice="3.106 0.000 0.000 -0.147 6.002 0.000 -1.549 -2.956 5.296" Properties=species:S:1:pos:R:3 pbc="T T T"
Cd 0.000 0.000 0.000
Pb -0.096 2.996 1.594
O 1.307 4.445 0.753
O 1.650 1.590 0.643
O 1.450 2.920 3.124
```

***

A geometry-optimized CdPbO2 structure. Source: Alexandria, functional PBE.

Computed properties:
- symmetry = Fm-3m
- magnetic moment (Bohr magnetons per cell) = 0.000
- relative energy among the computed polymorphs (meV per atom) = 440.9
- raw total energy (eV/atom) = -4.1661
- N(E_F) (states/eV/f.u.) = 0.000

Cell and atoms, written as extended XYZ:
```
4
Lattice="0.000 3.095 3.095 3.095 0.000 3.095 3.095 3.095 0.000" Properties=species:S:1:pos:R:3 pbc="T T T"
Cd 0.000 0.000 0.000
Pb 3.095 3.095 3.095
O 1.547 1.547 1.547
O 4.642 4.642 4.642
```

***

A geometry-optimized CdPbO2 structure. Source: Alexandria, functional PBE.

Computed properties:
- symmetry = R-3m
- magnetic moment (Bohr magnetons per cell) = 0.000
- relative energy among the computed polymorphs (meV per atom) = 346.1
- raw total energy (eV/atom) = -4.2609
- N(E_F) (states/eV/f.u.) = 1.329

Cell and atoms, written as extended XYZ:
```
4
Lattice="1.710 0.987 6.715 -1.710 0.987 6.715 0.000 -1.975 6.715" Properties=species:S:1:pos:R:3 pbc="T T T"
Cd 0.000 0.000 0.000
Pb 0.000 0.000 10.072
O 0.000 0.000 7.898
O 0.000 0.000 12.246
```

***

A geometry-optimized CdPbO3 structure. Source: Alexandria, functional PBE.

Computed properties:
- symmetry = Ibca
- magnetic moment (Bohr magnetons per cell) = 0.000
- raw total energy (eV/atom) = -4.8656
- N(E_F) (states/eV/f.u.) = 1.685

Cell and atoms, written as extended XYZ:
```
40
Lattice="-5.264 5.285 5.402 5.264 -5.285 5.402 5.264 5.285 -5.402" Properties=species:S:1:pos:R:3 pbc="T T T"
Cd 0.000 0.000 0.000
Cd 5.264 0.000 0.000
Cd 2.632 2.302 0.000
Cd 2.632 -2.302 5.402
Cd 0.000 5.285 0.000
Cd 0.000 0.000 5.402
Cd 2.632 7.588 0.000
Cd 2.632 2.983 5.402
Pb 5.264 2.643 -2.351
Pb 3.012 5.285 -2.701
Pb 3.012 0.000 2.701
Pb 0.000 2.643 2.351
Pb 5.264 2.643 3.052
Pb 2.253 5.285 2.701
Pb 2.253 0.000 8.104
Pb 0.000 2.643 7.753
O 6.253 -3.812 3.910
O 6.728 1.388 -1.124
O 6.671 -1.038 1.601
O 4.276 -1.473 3.910
O 9.066 1.388 1.124
O 1.406 1.038 1.601
O 1.406 -1.038 3.802
O 3.801 3.897 -1.124
O 4.276 1.473 1.492
O 6.671 1.038 3.802
O 1.463 3.897 1.124
O 6.253 3.812 1.492
O -0.989 1.473 3.910
O 3.801 1.388 4.279
O -1.406 4.247 1.601
O 0.989 3.812 3.910
O 1.463 1.388 6.526
O 3.858 6.324 1.601
O 3.858 4.247 3.802
O -3.801 3.897 4.279
O 0.989 6.759 1.492
O -1.406 6.324 3.802
O -1.463 3.897 6.526
O -0.989 9.097 1.492
```

***

A geometry-optimized Cd2Pb3O8 structure. Source: Alexandria, functional PBE.

Computed properties:
- symmetry = C2/m
- magnetic moment (Bohr magnetons per cell) = 0.000
- raw total energy (eV/atom) = -4.9536
- N(E_F) (states/eV/f.u.) = 2.303

Cell and atoms, written as extended XYZ:
```
13
Lattice="5.498 -3.317 0.000 5.498 3.317 0.000 -1.295 0.000 5.636" Properties=species:S:1:pos:R:3 pbc="T T T"
Cd 2.130 0.000 0.523
Cd 7.570 0.000 5.113
Pb 4.850 1.702 2.818
Pb 5.498 0.000 0.000
Pb 4.850 -1.702 2.818
O 0.662 0.000 2.199
O 3.999 1.480 0.732
O 3.555 0.000 3.529
O 5.701 1.480 4.904
O 3.999 -1.480 0.732
O 6.145 0.000 2.107
O 5.701 -1.480 4.904
O 9.038 0.000 3.437
```

***

A geometry-optimized CdPdPbO4 structure. Source: Alexandria, functional PBE.

Computed properties:
- symmetry = Imma
- magnetic moment (Bohr magnetons per cell) = 0.000
- raw total energy (eV/atom) = -4.9632
- N(E_F) (states/eV/f.u.) = 2.141

Cell and atoms, written as extended XYZ:
```
14
Lattice="-3.069 3.291 5.266 3.069 -3.291 5.266 3.069 3.291 -5.266" Properties=species:S:1:pos:R:3 pbc="T T T"
Cd 0.000 1.646 1.752
Cd 3.069 1.646 3.514
Pd 1.534 1.646 -2.633
Pd 1.534 -1.646 2.633
Pb 3.069 0.000 0.000
Pb 0.000 0.000 5.266
O 3.069 -0.294 2.293
O 3.069 2.997 -2.293
O 1.629 1.646 0.274
O 4.508 1.646 0.274
O -1.439 1.646 4.992
O 1.439 1.646 4.992
O 0.000 0.294 7.559
O 0.000 3.585 2.973
```

***

no.,uncorrected formation energy (meV/atom)
1,283
2,-326
3,-972
4,-987
5,-854
6,-920
7,-729
8,-531
9,-626
10,-966
11,-906
12,-728